1.
Material: La2SI
Method: DFT, PBE-GGA
State: optimized geometry

Properties
* calculated total energy: -21.955 eV/cell
* raw formation energy: -37.0 kcal/mol of atoms

Structure (POSCAR):
```
La2SI
1.0
2.088 1.206 7.897
-2.088 1.206 7.897
0.000 -2.412 7.897
La S I
2 1 1
Direct
0.232 0.232 0.232 La
0.768 0.768 0.768 La
0.500 0.500 0.500 S
0.000 0.000 0.000 I
```


2.
Material: Pu2FeAg
Method: DFT, PBE-GGA
State: optimized geometry

Properties
* calculated total energy: -39.840 eV/cell
* ΔE_f: 0.0344 eV per atom

Structure (POSCAR):
```
Pu2FeAg
1.0
3.176 0.000 0.000
0.000 3.176 0.000
0.000 0.000 8.237
Pu Fe Ag
2 1 1
Direct
0.000 0.000 0.212 Pu
0.000 0.000 0.788 Pu
0.500 0.500 0.000 Fe
0.500 0.500 0.500 Ag
```


> The highest calculated total energy belongs to which entry?

La2SI


> Number 2 is which compound?

Pu2FeAg


What did the second record say?
Material: Pu2FeAg
Method: DFT, PBE-GGA
State: optimized geometry

Properties
* calculated total energy: -39.840 eV/cell
* ΔE_f: 0.0344 eV per atom

Structure (POSCAR):
```
Pu2FeAg
1.0
3.176 0.000 0.000
0.000 3.176 0.000
0.000 0.000 8.237
Pu Fe Ag
2 1 1
Direct
0.000 0.000 0.212 Pu
0.000 0.000 0.788 Pu
0.500 0.500 0.000 Fe
0.500 0.500 0.500 Ag
```


> Number 1 is which compound?

La2SI